# 1
AgSb2SeBr | GGA-PBE | relaxed

Unit cell a=5.627 b=5.627 c=5.050 alpha=90.00 beta=90.00 gamma=90.00
Fractional coordinates of all 5 atoms:
Ag (0.000, 0.000, 0.000)
Sb (0.000, 0.500, 0.500)
Sb (0.500, 0.000, 0.500)
Se (0.000, 0.000, 0.500)
Br (0.500, 0.500, 0.000)

Summary:
**M_tot**: 0.27 μB per atom
**Raw formation energy**: 0.51 eV/atom

***

# 2
Ag4Sb2Se5Br | GGA-PBE | relaxed

Unit cell a=7.796 b=6.951 c=6.951 alpha=120.95 beta=90.00 gamma=90.00
Fractional coordinates of all 12 atoms:
Ag (0.000, 0.188, 0.812)
Ag (0.000, 0.812, 0.188)
Ag (0.285, 0.502, 0.502)
Ag (0.715, 0.502, 0.502)
Sb (0.500, 0.185, 0.797)
Sb (0.500, 0.797, 0.185)
Se (0.243, 0.520, 0.889)
Se (0.243, 0.889, 0.520)
Se (0.500, 0.193, 0.193)
Se (0.757, 0.520, 0.889)
Se (0.757, 0.889, 0.520)
Br (0.000, 0.231, 0.231)

Summary:
**M_tot**: 0.00 μB per atom
**Raw formation energy**: -0.14 eV/atom

***

# 3
AgSnSb2Br | GGA-PBE | relaxed

Unit cell a=5.741 b=5.741 c=5.285 alpha=90.00 beta=90.00 gamma=90.00
Fractional coordinates of all 5 atoms:
Ag (0.000, 0.000, 0.000)
Sn (0.000, 0.000, 0.500)
Sb (0.000, 0.500, 0.500)
Sb (0.500, 0.000, 0.500)
Br (0.500, 0.500, 0.000)

Summary:
**M_tot**: 0.28 μB per atom
**Raw formation energy**: 0.57 eV/atom

***

# 4
AgSbTe2Br | GGA-PBE | relaxed

Unit cell a=5.351 b=5.351 c=5.680 alpha=90.00 beta=90.00 gamma=90.00
Fractional coordinates of all 5 atoms:
Ag (0.000, 0.000, 0.000)
Sb (0.000, 0.000, 0.500)
Te (0.000, 0.500, 0.000)
Te (0.500, 0.000, 0.000)
Br (0.500, 0.500, 0.500)

Summary:
**M_tot**: 0.00 μB per atom
**ΔE to the lowest computed polymorph**: 0.00 eV/f.u.
**Raw formation energy**: 0.53 eV/atom